## NbCr2SiPd (GGA-PBE)

Data for a relaxed structure of NbCr2SiPd.

Properties
For the raw formation energy, the calculation gives 1.31 eV/atom.

a = 4.601 Å, b = 4.819 Å, c = 4.601 Å
α = 90.00°, β = 90.00°, γ = 90.00°
Site moments in Bohr magnetons follow the coordinates.
Element x y z (fractional)
Cr  0.000  0.000  0.500  2.39
Cr  0.500  0.000  0.000  3.18
Nb  0.000  0.000  0.000  -0.60
Si  0.000  0.500  0.000  -0.05
Pd  0.500  0.500  0.500  0.01

=====

## ZrNbCrPd2 (GGA-PBE)

Data for a relaxed structure of ZrNbCrPd2.

Properties
Its energy of formation from the pure elements is 0.8232 eV per atom.

a = 4.576 Å, b = 4.625 Å, c = 4.576 Å
α = 90.00°, β = 90.00°, γ = 90.00°
Site moments in Bohr magnetons follow the coordinates.
Element x y z (fractional)
Cr  0.000  0.000  0.000  0.17
Nb  0.500  0.500  0.500  0.80
Zr  0.000  0.500  0.000  -0.04
Pd  0.000  0.000  0.500  0.02
Pd  0.500  0.000  0.000  0.06

=====

## PrNb2Cr (GGA-PBE)

Data for a relaxed structure of PrNb2Cr.

Properties
Its energy of formation from the pure elements is 0.6263 eV per atom.

a = 3.100 Å, b = 3.100 Å, c = 9.998 Å
α = 81.08°, β = 81.08°, γ = 60.00°
Element x y z (fractional)
Pr  0.000  0.000  0.000
Cr  0.500  0.500  0.500
Nb  0.104  0.104  0.689
Nb  0.896  0.896  0.311

=====

## Nb2CrPt (GGA-PBE)

Data for a relaxed structure of Nb2CrPt.

Properties
The distance to the lowest polymorph of the same formula comes out at 0.1167 eV/atom. Its energy of formation from the pure elements is -0.1068 eV per atom.

a = 4.505 Å, b = 4.505 Å, c = 4.505 Å
α = 60.00°, β = 60.00°, γ = 60.00°
Element x y z (fractional)
Cr  0.000  0.000  0.000
Nb  0.250  0.250  0.250
Nb  0.750  0.750  0.750
Pt  0.500  0.500  0.500

=====

## Nb2Cr2Pt (GGA-PBE)

Data for a relaxed structure of Nb2Cr2Pt.

Properties
Its energy of formation from the pure elements is -0.0384 eV per atom.

a = 6.415 Å, b = 6.415 Å, c = 3.792 Å
α = 90.00°, β = 90.00°, γ = 90.00°
Element x y z (fractional)
Cr  0.389  0.889  0.000
Cr  0.889  0.611  0.000
Cr  0.611  0.111  0.000
Cr  0.111  0.389  0.000
Nb  0.181  0.681  0.500
Nb  0.681  0.819  0.500
Nb  0.819  0.319  0.500
Nb  0.319  0.181  0.500
Pt  0.000  0.000  0.000
Pt  0.500  0.500  0.000

=====

## Nb2CrPt9 (GGA-PBE)

Data for a relaxed structure of Nb2CrPt9.

Properties
Its energy of formation from the pure elements is -0.5131 eV per atom.

a = 3.990 Å, b = 3.990 Å, c = 11.915 Å
α = 90.00°, β = 90.00°, γ = 90.00°
Site moments in Bohr magnetons follow the coordinates.
Element x y z (fractional)
Nb  0.000  0.000  0.326  0.19
Nb  0.000  0.000  0.674  0.19
Cr  0.000  0.000  0.000  3.36
Pt  0.500  0.500  0.000  0.00
Pt  0.500  0.500  0.335  0.02
Pt  0.500  0.500  0.665  0.02
Pt  0.500  0.000  0.169  0.04
Pt  0.500  0.000  0.500  0.02
Pt  0.500  0.000  0.831  0.04
Pt  0.000  0.500  0.169  0.04
Pt  0.000  0.500  0.500  0.02
Pt  0.000  0.500  0.831  0.04

=====

no.,DFT total energy (eV per atom)
1,-6.6804
2,-6.9022
3,-8.0093
4,-9.0577
5,-9.1239
6,-7.5240